(1)
The following is a DFT calculation (PBE) of a relaxed structure of Zr2Sc4Ge3C3.

total energy = -7.714 eV per atom

Lattice parameters (Å, degrees): 5.7639 5.7639 14.3173 101.64 101.64 60.03
With the nearest neighbours (Å) after each atom.
Atoms (fractional coordinates):
Zr (0.0299, 0.8607, 0.5897)  3 C 2.26-2.28
Zr (0.1393, 0.9701, 0.9103)  3 C 2.26-2.28
Zr (0.8607, 0.0299, 0.0897)  3 C 2.26-2.28
Zr (0.9701, 0.1393, 0.4103)  3 C 2.26-2.28
Sc (0.1967, 0.3657, 0.0903)  3 C 2.30-2.32
Sc (0.3063, 0.4669, 0.4097)  3 C 2.30-2.32
Sc (0.3657, 0.1967, 0.5903)  3 C 2.30-2.32
Sc (0.4669, 0.3063, 0.9097)  3 C 2.30-2.32
Sc (0.5331, 0.6937, 0.0903)  3 C 2.30-2.32
Sc (0.6343, 0.8033, 0.4097)  3 C 2.30-2.32
Sc (0.6937, 0.5331, 0.5903)  3 C 2.30-2.32
Sc (0.8033, 0.6343, 0.9097)  3 C 2.30-2.32
Ge (0.0773, 0.2541, 0.7494)  4 Sc 2.92-2.96, 2 Zr 2.95
Ge (0.2541, 0.0773, 0.2494)  4 Sc 2.92-2.96, 2 Zr 2.95
Ge (0.4195, 0.5805, 0.7500)  4 Sc 2.93, 2 Zr 2.95
Ge (0.5805, 0.4195, 0.2500)  4 Sc 2.93, 2 Zr 2.95
Ge (0.7459, 0.9227, 0.7506)  4 Sc 2.92-2.96, 2 Zr 2.95
Ge (0.9227, 0.7459, 0.2506)  4 Sc 2.92-2.96, 2 Zr 2.95
C (0.0000, 0.5000, 0.5000)  2 Zr 2.28, 4 Sc 2.30
C (0.1618, 0.6762, 0.0000)  2 Zr 2.26, 4 Sc 2.30-2.32
C (0.3238, 0.8382, 0.5000)  2 Zr 2.26, 4 Sc 2.30-2.32
C (0.5000, 0.0000, 0.0000)  2 Zr 2.28, 4 Sc 2.30
C (0.6762, 0.1618, 0.5000)  2 Zr 2.26, 4 Sc 2.30-2.32
C (0.8382, 0.3238, 0.0000)  2 Zr 2.26, 4 Sc 2.30-2.32

---

(2)
The following is a DFT calculation (PBE) of a relaxed structure of CuPH26C23NCl.

total energy = -6.086 eV per atom

Lattice parameters (Å, degrees): 9.4140 9.9676 12.2738 104.07 96.68 110.23
With the nearest neighbours (Å) after each atom.
Atoms (fractional coordinates):
Cu (0.0520, 0.1527, 0.0864)  1 P 2.16, 1 N 2.19, 2 Cl 2.35-2.36
Cu (0.9480, 0.8473, 0.9136)  1 P 2.16, 1 N 2.19, 2 Cl 2.35-2.36
P (0.0226, 0.2631, 0.2519)  3 C 1.82-1.83
P (0.9774, 0.7369, 0.7481)  3 C 1.82-1.83
H (0.0175, 0.2387, 0.6390)  1 C 1.09
H (0.0363, 0.0172, 0.3305)  1 C 1.09
H (0.0622, 0.4388, 0.0316)  1 C 1.10
H (0.0659, 0.3134, 0.9060)  1 C 1.10
H (0.0990, 0.5068, 0.6541)  1 C 1.09
H (0.1130, 0.7349, 0.5391)  1 C 1.09
H (0.1649, 0.0910, 0.8726)  1 C 1.10
H (0.1689, 0.5830, 0.9044)  1 C 1.10
H (0.1916, 0.0009, 0.5021)  1 C 1.09
H (0.2215, 0.8889, 0.2944)  1 C 1.09
H (0.2360, 0.2435, 0.8150)  1 C 1.10
H (0.2608, 0.4998, 0.4557)  1 C 1.09
H (0.2709, 0.8556, 0.9063)  1 C 1.09
H (0.3096, 0.5051, 0.8854)  1 C 1.10
H (0.3240, 0.6305, 0.0209)  1 C 1.10
H (0.3469, 0.3881, 0.2201)  1 C 1.10
H (0.3539, 0.1453, 0.8449)  1 C 1.10
H (0.3709, 0.7454, 0.2129)  1 C 1.09
H (0.3811, 0.2390, 0.0521)  1 C 1.10
H (0.3844, 0.8010, 0.5151)  1 C 1.09
H (0.3853, 0.2325, 0.6469)  1 C 1.09
H (0.3995, 0.1122, 0.3123)  1 C 1.09
H (0.4192, 0.4835, 0.6228)  1 C 1.09
H (0.4188, 0.5368, 0.1606)  1 C 1.11
H (0.4360, 0.3940, 0.9977)  1 C 1.11
H (0.4552, 0.0810, 0.1181)  1 C 1.09
H (0.5448, 0.9190, 0.8819)  1 C 1.09
H (0.5639, 0.6060, 0.0023)  1 C 1.11
H (0.5812, 0.4632, 0.8394)  1 C 1.11
H (0.5808, 0.5165, 0.3772)  1 C 1.09
H (0.6005, 0.8878, 0.6877)  1 C 1.09
H (0.6147, 0.7675, 0.3531)  1 C 1.09
H (0.6156, 0.1990, 0.4849)  1 C 1.09
H (0.6189, 0.7610, 0.9479)  1 C 1.10
H (0.6291, 0.2546, 0.7871)  1 C 1.09
H (0.6461, 0.8547, 0.1551)  1 C 1.10
H (0.6531, 0.6119, 0.7799)  1 C 1.10
H (0.6760, 0.3695, 0.9791)  1 C 1.10
H (0.6904, 0.4949, 0.1146)  1 C 1.10
H (0.7291, 0.1444, 0.0937)  1 C 1.09
H (0.7392, 0.5002, 0.5443)  1 C 1.09
H (0.7640, 0.7565, 0.1850)  1 C 1.10
H (0.7785, 0.1111, 0.7056)  1 C 1.09
H (0.8084, 0.9991, 0.4979)  1 C 1.09
H (0.8311, 0.4170, 0.0956)  1 C 1.10
H (0.8351, 0.9090, 0.1274)  1 C 1.10
H (0.8870, 0.2651, 0.4609)  1 C 1.09
H (0.9010, 0.4932, 0.3459)  1 C 1.09
H (0.9341, 0.6866, 0.0940)  1 C 1.10
H (0.9378, 0.5612, 0.9684)  1 C 1.10
H (0.9637, 0.9828, 0.6695)  1 C 1.09
H (0.9825, 0.7613, 0.3610)  1 C 1.09
C (0.0046, 0.5478, 0.3164)  1 H 1.09
C (0.0510, 0.6997, 0.3254)  1 H 1.09
C (0.0876, 0.4643, 0.2690)  2 C 1.40-1.42
C (0.1190, 0.1192, 0.3957)  1 H 1.09
C (0.1369, 0.2596, 0.3818)  2 C 1.40-1.41
C (0.1413, 0.4062, 0.9822)  2 H 1.10
C (0.1742, 0.7880, 0.7239)  2 C 1.40
C (0.1843, 0.7710, 0.2895)  1 H 1.09
C (0.2069, 0.1101, 0.4912)  1 H 1.09
C (0.2073, 0.7753, 0.6144)  1 H 1.09
C (0.2206, 0.5352, 0.2290)  3 C 1.40-1.51
C (0.2426, 0.5379, 0.9469)  3 H 1.10
C (0.2459, 0.3899, 0.4647)  1 H 1.09
C (0.2681, 0.1882, 0.8754)  3 H 1.10
C (0.2680, 0.6889, 0.2426)  1 H 1.09
C (0.2964, 0.8406, 0.8205)  1 H 1.09
C (0.3108, 0.4522, 0.1689)  2 H 1.10-1.11
C (0.3159, 0.2406, 0.5731)  1 H 1.09
C (0.3352, 0.3804, 0.5595)  1 H 1.09
C (0.3362, 0.2940, 0.9972)  2 H 1.10-1.11
C (0.3602, 0.8119, 0.6011)  1 H 1.09
C (0.4489, 0.8763, 0.8071)  1 H 1.09
C (0.4809, 0.8609, 0.6974)  1 H 1.09
C (0.5191, 0.1391, 0.3026)  1 H 1.09
C (0.5511, 0.1237, 0.1929)  1 H 1.09
C (0.6398, 0.1881, 0.3989)  1 H 1.09
C (0.6639, 0.7060, 0.0028)  2 H 1.10-1.11
C (0.6648, 0.6196, 0.4405)  1 H 1.09
C (0.6841, 0.7594, 0.4269)  1 H 1.09
C (0.6892, 0.5478, 0.8311)  2 H 1.10-1.11
C (0.7036, 0.1594, 0.1795)  1 H 1.09
C (0.7320, 0.3111, 0.7574)  1 H 1.09
C (0.7319, 0.8118, 0.1246)  3 H 1.10
C (0.7541, 0.6101, 0.5353)  1 H 1.09
C (0.7574, 0.4621, 0.0531)  3 H 1.10
C (0.7794, 0.4648, 0.7710)  3 C 1.40-1.51
C (0.7927, 0.2247, 0.3856)  1 H 1.09
C (0.7931, 0.8899, 0.5088)  1 H 1.09
C (0.8157, 0.2290, 0.7105)  1 H 1.09
C (0.8258, 0.2120, 0.2761)  2 C 1.40
C (0.8587, 0.5938, 0.0178)  2 H 1.10
C (0.8631, 0.7404, 0.6182)  2 C 1.40-1.41
C (0.8810, 0.8808, 0.6043)  1 H 1.09
C (0.9124, 0.5357, 0.7310)  2 C 1.40-1.42
C (0.9490, 0.3003, 0.6746)  1 H 1.09
C (0.9954, 0.4522, 0.6836)  1 H 1.09
N (0.2238, 0.3431, 0.0532)  3 C 1.48-1.49
N (0.7762, 0.6569, 0.9468)  3 C 1.48-1.49
Cl (0.1503, 0.9636, 0.0791)  2 Cu 2.35-2.36, 1 H 2.63
Cl (0.8497, 0.0364, 0.9209)  2 Cu 2.35-2.36, 1 H 2.63

---

Repeat the first record exactly.
The following is a DFT calculation (PBE) of a relaxed structure of Zr2Sc4Ge3C3.

total energy = -7.714 eV per atom

Lattice parameters (Å, degrees): 5.7639 5.7639 14.3173 101.64 101.64 60.03
With the nearest neighbours (Å) after each atom.
Atoms (fractional coordinates):
Zr (0.0299, 0.8607, 0.5897)  3 C 2.26-2.28
Zr (0.1393, 0.9701, 0.9103)  3 C 2.26-2.28
Zr (0.8607, 0.0299, 0.0897)  3 C 2.26-2.28
Zr (0.9701, 0.1393, 0.4103)  3 C 2.26-2.28
Sc (0.1967, 0.3657, 0.0903)  3 C 2.30-2.32
Sc (0.3063, 0.4669, 0.4097)  3 C 2.30-2.32
Sc (0.3657, 0.1967, 0.5903)  3 C 2.30-2.32
Sc (0.4669, 0.3063, 0.9097)  3 C 2.30-2.32
Sc (0.5331, 0.6937, 0.0903)  3 C 2.30-2.32
Sc (0.6343, 0.8033, 0.4097)  3 C 2.30-2.32
Sc (0.6937, 0.5331, 0.5903)  3 C 2.30-2.32
Sc (0.8033, 0.6343, 0.9097)  3 C 2.30-2.32
Ge (0.0773, 0.2541, 0.7494)  4 Sc 2.92-2.96, 2 Zr 2.95
Ge (0.2541, 0.0773, 0.2494)  4 Sc 2.92-2.96, 2 Zr 2.95
Ge (0.4195, 0.5805, 0.7500)  4 Sc 2.93, 2 Zr 2.95
Ge (0.5805, 0.4195, 0.2500)  4 Sc 2.93, 2 Zr 2.95
Ge (0.7459, 0.9227, 0.7506)  4 Sc 2.92-2.96, 2 Zr 2.95
Ge (0.9227, 0.7459, 0.2506)  4 Sc 2.92-2.96, 2 Zr 2.95
C (0.0000, 0.5000, 0.5000)  2 Zr 2.28, 4 Sc 2.30
C (0.1618, 0.6762, 0.0000)  2 Zr 2.26, 4 Sc 2.30-2.32
C (0.3238, 0.8382, 0.5000)  2 Zr 2.26, 4 Sc 2.30-2.32
C (0.5000, 0.0000, 0.0000)  2 Zr 2.28, 4 Sc 2.30
C (0.6762, 0.1618, 0.5000)  2 Zr 2.26, 4 Sc 2.30-2.32
C (0.8382, 0.3238, 0.0000)  2 Zr 2.26, 4 Sc 2.30-2.32

---

Which value of total energy does entry 2 give? -6.086 eV per atom

---

The lowest total energy belongs to which entry? Zr2Sc4Ge3C3